This record from Alexandria via LeMat-Bulk describes a relaxed structure of Be2CdRu. The functional is PBE.

Cell lengths 4.2198, 4.2198, 4.2198 Å; angles 60.00, 60.00, 60.00 degrees
Element x y z (fractional)
Be (0.0000, 0.0000, 0.0000)
Be (0.2500, 0.2500, 0.2500)
Cd (0.7500, 0.7500, 0.7500)
Ru (0.5000, 0.5000, 0.5000)

Values from the calculation:
SG	F-43m, No. 216
calculated formation energy	397	meV per atom



This record from Alexandria via LeMat-Bulk describes a relaxed structure of Ce5Tl2Si2. The functional is PBE.

Cell lengths 9.0504, 9.0504, 7.7650 Å; angles 90.00, 90.00, 50.09 degrees
Element x y z (fractional)
Ce (0.0000, 0.0000, 0.0000)
Ce (0.0724, 0.6844, 0.6822)
Ce (0.1844, 0.5724, 0.1822)
Ce (0.3156, 0.9276, 0.6822)
Ce (0.4276, 0.8156, 0.1822)
Ce (0.5000, 0.5000, 0.5000)
Ce (0.5724, 0.1844, 0.8178)
Ce (0.6844, 0.0724, 0.3178)
Ce (0.8156, 0.4276, 0.8178)
Ce (0.9276, 0.3156, 0.3178)
Tl (0.2267, 0.2267, 0.0000)
Tl (0.2733, 0.2733, 0.5000)
Tl (0.7267, 0.7267, 0.5000)
Tl (0.7733, 0.7733, 0.0000)
Si (0.1093, 0.8907, 0.3862)
Si (0.3907, 0.6093, 0.8862)
Si (0.6093, 0.3907, 0.1138)
Si (0.8907, 0.1093, 0.6138)

Values from the calculation:
SG	Cmce, No. 64



This record from Alexandria via LeMat-Bulk describes a relaxed structure of Li2CuF4. The functional is PBE.

Cell lengths 8.4570, 8.4570, 8.4570 Å; angles 104.35, 104.35, 104.35 degrees
Element x y z (fractional)
Li (0.1042, 0.8488, 0.2768)
Li (0.1512, 0.7232, 0.8958)
Li (0.1734, 0.6170, 0.4715)
Li (0.2768, 0.1042, 0.8488)
Li (0.3830, 0.5285, 0.8266)
Li (0.4715, 0.1734, 0.6170)
Li (0.5285, 0.8266, 0.3830)
Li (0.6170, 0.4715, 0.1734)
Li (0.7232, 0.8958, 0.1512)
Li (0.8266, 0.3830, 0.5285)
Li (0.8488, 0.2768, 0.1042)
Li (0.8958, 0.1512, 0.7232)
Cu (0.1341, 0.1752, 0.4813)
Cu (0.1752, 0.4813, 0.1341)
Cu (0.4813, 0.1341, 0.1752)
Cu (0.5187, 0.8659, 0.8248)
Cu (0.8248, 0.5187, 0.8659)
Cu (0.8659, 0.8248, 0.5187)
F (0.0066, 0.7050, 0.0463)
F (0.0165, 0.7310, 0.4251)
F (0.0463, 0.0066, 0.7050)
F (0.0779, 0.3940, 0.2916)
F (0.2690, 0.5749, 0.9835)
F (0.2916, 0.0779, 0.3940)
F (0.2950, 0.9537, 0.9934)
F (0.3031, 0.6900, 0.3301)
F (0.3100, 0.6699, 0.6969)
F (0.3301, 0.3031, 0.6900)
F (0.3940, 0.2916, 0.0779)
F (0.4251, 0.0165, 0.7310)
F (0.5749, 0.9835, 0.2690)
F (0.6060, 0.7084, 0.9221)
F (0.6699, 0.6969, 0.3100)
F (0.6900, 0.3301, 0.3031)
F (0.6969, 0.3100, 0.6699)
F (0.7050, 0.0463, 0.0066)
F (0.7084, 0.9221, 0.6060)
F (0.7310, 0.4251, 0.0165)
F (0.9221, 0.6060, 0.7084)
F (0.9537, 0.9934, 0.2950)
F (0.9835, 0.2690, 0.5749)
F (0.9934, 0.2950, 0.9537)

Values from the calculation:
excess energy over the best structure of this formula in the dataset	0.030	eV/atom
SG	R-3, No. 148



This record from Alexandria via LeMat-Bulk describes a relaxed structure of CdPd3. The functional is PBE.

Cell lengths 5.4473, 5.4473, 5.4473 Å; angles 148.98, 62.35, 127.38 degrees
Element x y z (fractional)
Cd (0.0000, 0.0000, 0.0000)
Pd (0.1113, 0.3596, 0.7517)
Pd (0.5020, 0.0020, 0.5000)
Pd (0.6078, 0.3596, 0.2483)

Values from the calculation:
SG	Imm2, No. 44
calculated formation energy	-217	meV per atom



This record from Alexandria via LeMat-Bulk describes a relaxed structure of SnAu3Br. The functional is PBE.

Cell lengths 5.2636, 5.2636, 5.2636 Å; angles 90.00, 90.00, 90.00 degrees
Element x y z (fractional)
Sn (0.0000, 0.0000, 0.0000)
Au (0.0000, 0.0000, 0.5000)
Au (0.0000, 0.5000, 0.0000)
Au (0.5000, 0.0000, 0.0000)
Br (0.5000, 0.5000, 0.5000)

Values from the calculation:
excess energy over the best structure of this formula in the dataset	0.000	eV/atom
SG	Pm-3m, No. 221



This record from Alexandria via LeMat-Bulk describes a relaxed structure of TeIr2Br. The functional is PBE.

Cell lengths 4.6839, 4.6839, 4.6839 Å; angles 60.00, 60.00, 60.00 degrees
Element x y z (fractional)
Te (0.0000, 0.0000, 0.0000)
Ir (0.2500, 0.2500, 0.2500)
Ir (0.7500, 0.7500, 0.7500)
Br (0.5000, 0.5000, 0.5000)

Values from the calculation:
excess energy over the best structure of this formula in the dataset	0.681	eV/atom
SG	Fm-3m, No. 225



This record from Alexandria via LeMat-Bulk describes a relaxed structure of Ce2PmHoBi5. The functional is PBE.

Cell lengths 5.4338, 5.4338, 11.9790 Å; angles 90.00, 90.00, 90.00 degrees
Element x y z (fractional)
Ce (0.0000, 0.0000, 0.2181)
Ce (0.0000, 0.0000, 0.7819)
Pm (0.5000, 0.5000, 0.5000)
Ho (0.5000, 0.5000, 0.0000)
Bi (0.0000, 0.0000, 0.5000)
Bi (0.0000, 0.5000, 0.0000)
Bi (0.5000, 0.0000, 0.0000)
Bi (0.5000, 0.5000, 0.2503)
Bi (0.5000, 0.5000, 0.7497)

Values from the calculation:
SG	P4/mmm, No. 123
calculated formation energy	-136	meV per atom



This record from Alexandria via LeMat-Bulk describes a relaxed structure of YPa2O7. The functional is PBE.

Cell lengths 10.7009, 10.7009, 10.7009 Å; angles 20.90, 20.90, 20.90 degrees
Element x y z (fractional)
Y (0.0000, 0.0000, 0.0000)
Pa (0.4309, 0.4309, 0.4309)
Pa (0.5691, 0.5691, 0.5691)
O (0.0757, 0.0757, 0.0757)
O (0.2187, 0.2187, 0.2187)
O (0.3609, 0.3609, 0.3609)
O (0.5000, 0.5000, 0.5000)
O (0.6391, 0.6391, 0.6391)
O (0.7813, 0.7813, 0.7813)
O (0.9243, 0.9243, 0.9243)

Values from the calculation:
SG	R-3m, No. 166



This record from Alexandria via LeMat-Bulk describes a relaxed structure of Pu2Ga4CuRh3. The functional is PBE.

Cell lengths 4.0329, 4.0329, 11.1629 Å; angles 90.00, 90.00, 90.00 degrees
Element x y z (fractional)
Pu (0.0000, 0.5000, 0.2397)
Pu (0.5000, 0.0000, 0.7603)
Ga (0.0000, 0.0000, 0.0000)
Ga (0.0000, 0.5000, 0.6307)
Ga (0.5000, 0.0000, 0.3693)
Ga (0.5000, 0.5000, 0.0000)
Cu (0.0000, 0.0000, 0.5000)
Rh (0.0000, 0.5000, 0.8562)
Rh (0.5000, 0.0000, 0.1438)
Rh (0.5000, 0.5000, 0.5000)

Values from the calculation:
SG	P-4m2, No. 115
calculated formation energy	-496	meV per atom



This record from Alexandria via LeMat-Bulk describes a relaxed structure of CaNiPt2. The functional is PBE.

Cell lengths 4.9761, 4.9761, 4.0910 Å; angles 114.16, 114.16, 47.68 degrees
Element x y z (fractional)
Ca (0.0000, 0.0000, 0.0000)
Ni (0.7527, 0.7527, 0.2551)
Pt (0.2476, 0.2476, 0.7470)
Pt (0.4966, 0.4966, 0.4960)

Values from the calculation:
SG	Cm, No. 8
calculated formation energy	-284	meV per atom



This record from Alexandria via LeMat-Bulk describes a relaxed structure of ZrZnPdAu. The functional is PBE.

Cell lengths 4.6278, 4.6278, 4.6278 Å; angles 60.00, 60.00, 60.00 degrees
Element x y z (fractional)
Zr (0.0000, 0.0000, 0.0000)
Zn (0.5000, 0.5000, 0.5000)
Pd (0.7500, 0.7500, 0.7500)
Au (0.2500, 0.2500, 0.2500)

Values from the calculation:
SG	F-43m, No. 216
calculated formation energy	-528	meV per atom



This record from Alexandria via LeMat-Bulk describes a relaxed structure of LaTmP2O8. The functional is PBE.

Cell lengths 5.2678, 5.2678, 7.1838 Å; angles 90.00, 90.00, 120.00 degrees
Element x y z (fractional)
La (0.0000, 0.0000, 0.0000)
Tm (0.0000, 0.0000, 0.5000)
P (0.3333, 0.6667, 0.7864)
P (0.6667, 0.3333, 0.2136)
O (0.1720, 0.3467, 0.7127)
O (0.1747, 0.8280, 0.7127)
O (0.3333, 0.6667, 0.9995)
O (0.3467, 0.1747, 0.2873)
O (0.6533, 0.8253, 0.7127)
O (0.6667, 0.3333, 0.0005)
O (0.8253, 0.1720, 0.2873)
O (0.8280, 0.6533, 0.2873)

Values from the calculation:
SG	P-3, No. 147



This record from Alexandria via LeMat-Bulk describes a relaxed structure of Ba3NaIn3. The functional is PBE.

Cell lengths 6.6978, 6.6978, 17.6858 Å; angles 107.68, 107.68, 48.75 degrees
Element x y z (fractional)
Ba (0.0169, 0.0169, 0.2766)
Ba (0.1826, 0.1826, 0.5707)
Ba (0.3432, 0.3432, 0.8729)
Ba (0.6568, 0.6568, 0.1271)
Ba (0.8174, 0.8174, 0.4293)
Ba (0.9831, 0.9831, 0.7234)
Na (0.3266, 0.3266, 0.0900)
Na (0.6734, 0.6734, 0.9100)
In (0.0640, 0.0640, 0.9450)
In (0.3110, 0.3110, 0.2736)
In (0.4840, 0.4840, 0.5793)
In (0.5160, 0.5160, 0.4207)
In (0.6890, 0.6890, 0.7264)
In (0.9360, 0.9360, 0.0550)

Values from the calculation:
SG	C2/m, No. 12
calculated formation energy	-308	meV per atom



This record from Alexandria via LeMat-Bulk describes a relaxed structure of Ca2YAu. The functional is PBE.

Cell lengths 10.4687, 10.4687, 10.4687 Å; angles 21.15, 21.15, 21.15 degrees
Element x y z (fractional)
Ca (0.2321, 0.2321, 0.2321)
Ca (0.7679, 0.7679, 0.7679)
Y (0.0000, 0.0000, 0.0000)
Au (0.5000, 0.5000, 0.5000)

Values from the calculation:
excess energy over the best structure of this formula in the dataset	0.169	eV/atom
SG	R-3m, No. 166
calculated formation energy	-237	meV per atom



This record from Alexandria via LeMat-Bulk describes a relaxed structure of KTmCuI6. The functional is PBE.

Cell lengths 7.3806, 7.4503, 7.8565 Å; angles 93.57, 94.15, 113.23 degrees
Element x y z (fractional)
K (0.0000, 0.0000, 0.0000)
Tm (0.3698, 0.6688, 0.5090)
Cu (0.7502, 0.3592, 0.4548)
I (0.0304, 0.6121, 0.2521)
I (0.0514, 0.3374, 0.6597)
I (0.3973, 0.9591, 0.7825)
I (0.4488, 0.3849, 0.2552)
I (0.6507, 0.9870, 0.3159)
I (0.6758, 0.5715, 0.7109)

Values from the calculation:
SG	P1, No. 1



This record from Alexandria via LeMat-Bulk describes a relaxed structure of Ba3Ga2SnO8. The functional is PBE.

Cell lengths 5.8724, 5.8724, 7.5463 Å; angles 90.00, 90.00, 120.00 degrees
Element x y z (fractional)
Ba (0.0000, 0.0000, 0.0000)
Ba (0.3333, 0.6667, 0.6670)
Ba (0.6667, 0.3333, 0.3330)
Ga (0.3333, 0.6667, 0.2268)
Ga (0.6667, 0.3333, 0.7732)
Sn (0.0000, 0.0000, 0.5000)
O (0.1636, 0.3271, 0.3311)
O (0.1636, 0.8364, 0.3311)
O (0.3271, 0.1636, 0.6689)
O (0.3333, 0.6667, 0.9914)
O (0.6667, 0.3333, 0.0086)
O (0.6729, 0.8364, 0.3311)
O (0.8364, 0.1636, 0.6689)
O (0.8364, 0.6729, 0.6689)

Values from the calculation:
SG	P-3m1, No. 164



This record from Alexandria via LeMat-Bulk describes a relaxed structure of Ba3CuW. The functional is PBE.

Cell lengths 5.9744, 5.9744, 5.9744 Å; angles 90.00, 90.00, 90.00 degrees
Element x y z (fractional)
Ba (0.0000, 0.0000, 0.5000)
Ba (0.0000, 0.5000, 0.0000)
Ba (0.5000, 0.0000, 0.0000)
Cu (0.5000, 0.5000, 0.5000)
W (0.0000, 0.0000, 0.0000)

Values from the calculation:
excess energy over the best structure of this formula in the dataset	0.000	eV/atom
SG	Pm-3m, No. 221
calculated formation energy	1055	meV per atom



This record from Alexandria via LeMat-Bulk describes a relaxed structure of CaGa2GeIr. The functional is PBE.

Cell lengths 6.3101, 6.3101, 6.3101 Å; angles 142.49, 141.84, 54.58 degrees
Element x y z (fractional)
Ca (0.0000, 0.0000, 0.0000)
Ga (0.3831, 0.3831, 0.0000)
Ga (0.7522, 0.2522, 0.5000)
Ge (0.6116, 0.6116, 0.0000)
Ir (0.2431, 0.7431, 0.5000)

Values from the calculation:
SG	Imm2, No. 44
calculated formation energy	-427	meV per atom



This record from Alexandria via LeMat-Bulk describes a relaxed structure of Pa2Hg4O9. The functional is PBE.

Cell lengths 5.8897, 5.8897, 16.6793 Å; angles 98.85, 98.85, 65.66 degrees
Element x y z (fractional)
Pa (0.0065, 0.9732, 0.6476)
Pa (0.0268, 0.9935, 0.8524)
Pa (0.9732, 0.0065, 0.1475)
Pa (0.9935, 0.0268, 0.3524)
Hg (0.3102, 0.3826, 0.3136)
Hg (0.3309, 0.3307, 0.0286)
Hg (0.3307, 0.3309, 0.5286)
Hg (0.3826, 0.3102, 0.8136)
Hg (0.6174, 0.6898, 0.1864)
Hg (0.6693, 0.6691, 0.4714)
Hg (0.6691, 0.6693, 0.9714)
Hg (0.6898, 0.6174, 0.6864)
O (0.0061, 0.2783, 0.2585)
O (0.0057, 0.7438, 0.4079)
O (0.0840, 0.2965, 0.9282)
O (0.2232, 0.7768, 0.2500)
O (0.2562, 0.9943, 0.0921)
O (0.2783, 0.0061, 0.7585)
O (0.2965, 0.0840, 0.4282)
O (0.3494, 0.6313, 0.6102)
O (0.3687, 0.6506, 0.8898)
O (0.6313, 0.3494, 0.1102)
O (0.6506, 0.3687, 0.3898)
O (0.7035, 0.9160, 0.5718)
O (0.7217, 0.9939, 0.2415)
O (0.7438, 0.0057, 0.9079)
O (0.7768, 0.2232, 0.7500)
O (0.9160, 0.7035, 0.0718)
O (0.9943, 0.2562, 0.5921)
O (0.9939, 0.7217, 0.7415)

Values from the calculation:
SG	C2/c, No. 15



This record from Alexandria via LeMat-Bulk describes a relaxed structure of Hg2BiBrF. The functional is PBE.

Cell lengths 5.8557, 5.8557, 4.5275 Å; angles 90.00, 90.00, 90.00 degrees
Element x y z (fractional)
Hg (0.0000, 0.5000, 0.0000)
Hg (0.5000, 0.0000, 0.0000)
Bi (0.0000, 0.0000, 0.0000)
Br (0.5000, 0.5000, 0.5000)
F (0.0000, 0.0000, 0.5000)

Values from the calculation:
SG	P4/mmm, No. 123



This record from Alexandria via LeMat-Bulk describes a relaxed structure of FeTe2Ru. The functional is PBE.

Cell lengths 5.6449, 5.6449, 5.6449 Å; angles 139.42, 139.42, 58.73 degrees
Element x y z (fractional)
Fe (0.0000, 0.0000, 0.0000)
Te (0.5000, 0.5000, 0.0000)
Te (0.7500, 0.2500, 0.5000)
Ru (0.2500, 0.7500, 0.5000)

Values from the calculation:
excess energy over the best structure of this formula in the dataset	0.627	eV/atom
SG	I-4m2, No. 119



This record from Alexandria via LeMat-Bulk describes a relaxed structure of Pm6CdAu2. The functional is PBE.

Cell lengths 8.9243, 8.9243, 5.1397 Å; angles 106.63, 106.63, 48.35 degrees
Element x y z (fractional)
Pm (0.0746, 0.5852, 0.3299)
Pm (0.2375, 0.7625, 0.0000)
Pm (0.4148, 0.9254, 0.6701)
Pm (0.5852, 0.0746, 0.3299)
Pm (0.7625, 0.2375, 0.0000)
Pm (0.9254, 0.4148, 0.6701)
Cd (0.5000, 0.5000, 0.5000)
Au (0.1675, 0.1675, 0.1677)
Au (0.8325, 0.8325, 0.8323)

Values from the calculation:
SG	C2/m, No. 12
calculated formation energy	-218	meV per atom



| no. | ρ (g cm⁻³) | total energy (eV/atom) |
| --- | --- | --- |
| 1 | 7.24 | -4.01 |
| 2 | 7.93 | -5.43 |
| 3 | 2.85 | -4.51 |
| 4 | 10.93 | -4.34 |
| 5 | 8.99 | -2.60 |
| 6 | 13.53 | -4.76 |
| 7 | 7.68 | -4.65 |
| 8 | 8.06 | -9.37 |
| 9 | 10.42 | -7.19 |
| 10 | 12.12 | -5.25 |
| 11 | 10.90 | -5.10 |
| 12 | 4.79 | -7.96 |
| 13 | 4.60 | -2.49 |
| 14 | 4.65 | -3.67 |
| 15 | 4.35 | -3.03 |
| 16 | 5.88 | -6.16 |
| 17 | 5.13 | -3.51 |
| 18 | 7.86 | -4.73 |
| 19 | 9.03 | -6.01 |
| 20 | 7.58 | -2.27 |
| 21 | 9.08 | -5.40 |
| 22 | 7.87 | -4.22 |